Density functional theory data (PBE-GGA) for a relaxed NdNp3As4 crystal.

Computed properties:
DOS at the Fermi energy	24.90	states/eV/cell
E_form	-0.877	eV per atom

Cell lengths 5.8697, 5.8697, 5.8697 Å; angles 90.00, 90.00, 90.00 degrees
Space group Pm-3m (No. 221)
Inequivalent atoms, fractional coordinates:
Nd (0.0000, 0.0000, 0.0000) (multiplicity 1)
Np (0.0000, 0.5000, 0.5000) (multiplicity 3)
As (0.0000, 0.0000, 0.5000) (multiplicity 3)
As (0.5000, 0.5000, 0.5000) (multiplicity 1)